Entry 1:
Entry from Alexandria: an optimized crystal structure of LiAgP2 (PBE).

## Properties
energy of formation from the pure elements: 0.08 eV/atom
ΔE to the lowest computed polymorph: 0.871 eV per formula unit
D(E_F): 0.35 states/eV/atom

a = 6.3795 Å, b = 4.8797 Å, c = 2.8207 Å
α = 92.34°, β = 59.69°, γ = 120.52°
Positions (direct):
Li: 0.5000 0.5000 0.0000
Ag: 0.0000 0.5000 0.5000
P: 0.0000 0.0000 0.0000
P: 0.5000 0.0000 0.5000

---

Entry 2:
Entry from Alexandria: an optimized crystal structure of KSrCoBr5 (PBE).

## Properties
energy relative to the elements, uncorrected: -1.33 eV per atom

a = 8.0023 Å, b = 8.0023 Å, c = 10.7273 Å
α = 104.03°, β = 104.03°, γ = 105.29°
Site moments in Bohr magnetons follow the coordinates.
Positions (direct):
Sr: 0.0000 0.0000 0.5000  0.01
Sr: 0.0000 0.0000 0.0000  0.01
Br: 0.9155 0.3399 0.1431  0.08
Br: 0.3399 0.9155 0.6431  0.08
Br: 0.4024 0.2656 0.0720  0.08
Br: 0.6601 0.0845 0.3569  0.08
Br: 0.8998 0.1002 0.7500  0.01
Br: 0.0845 0.6601 0.8569  0.08
Br: 0.1002 0.8998 0.2500  0.01
Br: 0.7344 0.5976 0.4280  0.08
Br: 0.2656 0.4024 0.5720  0.08
Br: 0.5976 0.7344 0.9280  0.08
K: 0.6474 0.3526 0.7500  0.00
K: 0.3526 0.6474 0.2500  0.00
Co: 0.3184 0.6816 0.7500  2.41
Co: 0.6816 0.3184 0.2500  2.41

---

Entry 3:
Entry from Alexandria: an optimized crystal structure of LaTlN (PBE).

## Properties
ΔE to the lowest computed polymorph: 0.000 eV per formula unit
energy relative to the elements, uncorrected: -0.69 eV per atom
D(E_F): 0.56 states/eV/atom

a = 4.0334 Å, b = 4.7882 Å, c = 8.1176 Å
α = 90.00°, β = 104.39°, γ = 90.00°
Positions (direct):
La: 0.1891 0.7500 0.3782
La: 0.8109 0.2500 0.6218
N: 0.7700 0.7500 0.5400
N: 0.2300 0.2500 0.4600
Tl: 0.4352 0.7500 0.8705
Tl: 0.5648 0.2500 0.1295

---

Entry 4:
Entry from Alexandria: an optimized crystal structure of NaCuOF2 (PBE).

## Properties
ΔE to the lowest computed polymorph: 4.985 eV per formula unit
energy relative to the elements, uncorrected: -0.47 eV per atom
D(E_F): 0.98 states/eV/atom

a = 4.0638 Å, b = 4.0638 Å, c = 4.2261 Å
α = 90.00°, β = 90.00°, γ = 90.00°
Site moments in Bohr magnetons follow the coordinates.
Positions (direct):
F: 0.5000 0.0000 0.0000  -0.14
F: 0.0000 0.5000 0.0000  -0.14
Na: 0.0000 0.0000 0.0000  -0.01
Cu: 0.5000 0.5000 0.5000  -0.36
O: 0.0000 0.0000 0.5000  -1.13

---

Entry 5:
Entry from Alexandria: an optimized crystal structure of AcPaCSe2 (PBE).

## Properties
energy relative to the elements, uncorrected: -1.22 eV per atom
D(E_F): 0.48 states/eV/atom

a = 4.1221 Å, b = 4.1221 Å, c = 15.6488 Å
α = 90.00°, β = 90.00°, γ = 90.00°
Positions (direct):
Se: 0.0000 0.5000 0.6749
Se: 0.5000 0.0000 0.9177
Se: 0.0000 0.5000 0.0823
Se: 0.5000 0.0000 0.3251
Pa: 0.0000 0.5000 0.4288
Pa: 0.5000 0.0000 0.5712
C: 0.0000 0.0000 0.5000
C: 0.5000 0.5000 0.5000
Ac: 0.0000 0.5000 0.8623
Ac: 0.5000 0.0000 0.1377

---

Entry 6:
Entry from Alexandria: an optimized crystal structure of TcAgCl2 (PBE).

## Properties
ΔE to the lowest computed polymorph: 1.697 eV per formula unit
energy relative to the elements, uncorrected: 0.40 eV per atom
D(E_F): 0.24 states/eV/atom

a = 3.3937 Å, b = 3.3937 Å, c = 6.6939 Å
α = 90.00°, β = 90.00°, γ = 90.00°
Site moments in Bohr magnetons follow the coordinates.
Positions (direct):
Cl: 0.0000 0.0000 0.4880  0.11
Cl: 0.0000 0.0000 0.0120  0.11
Ag: 0.5000 0.5000 0.7500  0.02
Tc: 0.5000 0.5000 0.2500  3.38

---

Number 1: total moment 0.00 Bohr magnetons per cell. Number 2: total moment 6.00 Bohr magnetons per cell. Number 3: total moment 0.00 Bohr magnetons per cell. Number 4: total moment 2.00 Bohr magnetons per cell. Number 5: total moment 0.00 Bohr magnetons per cell. Number 6: total moment 4.06 Bohr magnetons per cell.